# SmPa3S6 (PBE, relaxed)
# Raw formation energy = -16.58 eV per formula unit
# Magnetization = 8.3 μB/cell
data_SmPa3S6
_space_group_name_H-M_alt 'P 1 21/m 1'
_space_group_IT_number 11
_space_group_name_Hall '-P 2yb'
_cell_length_a 10.999
_cell_length_b 3.888
_cell_length_c 11.412
_cell_angle_alpha 90.00
_cell_angle_beta 107.05
_cell_angle_gamma 90.00
loop_
_atom_site_label
_atom_site_type_symbol
_atom_site_fract_x
_atom_site_fract_y
_atom_site_fract_z
Sm1 Sm 0.046 0.250 0.194
Pa1 Pa 0.149 0.250 0.573
Pa2 Pa 0.318 0.750 0.999
Pa3 Pa 0.426 0.250 0.336
S1 S 0.085 0.750 0.394
S2 S 0.121 0.250 0.964
S3 S 0.196 0.750 0.748
S4 S 0.256 0.750 0.221
S5 S 0.397 0.250 0.570
S6 S 0.490 0.250 0.123